(1)
First-principles (PBE) data for a relaxed PaCr2FeN4 crystal, as listed in Alexandria via LeMat-Bulk.

Results
The energy is -9.398 eV/atom. Its symmetry is No. 121. The uncorrected formation energy comes out at -56.4 kJ/mol of atoms.

a b c (Å): 4.874 4.874 4.874
angles (deg): 100.88 113.93 113.93
Last column: magnetic moment on the atom in μB.
Fractional coordinates of all 8 atoms:
Fe1 0.000 0.500 0.500  2.81
N1 0.000 0.093 0.500  0.05
N2 0.000 0.500 0.093  0.05
N3 0.593 0.500 0.500  0.05
N4 0.407 0.907 0.907  0.05
Cr1 0.500 0.250 0.750  -1.03
Cr2 0.500 0.750 0.250  -1.03
Pa1 0.000 0.000 0.000  -0.03


(2)
First-principles (PBE) data for a relaxed CrFe2PdN crystal, as listed in Alexandria via LeMat-Bulk.

Results
The energy is -8.047 eV/atom. Its symmetry is No. 123. The uncorrected formation energy comes out at -3.3 kJ/mol of atoms.

a b c (Å): 3.772 3.772 3.866
angles (deg): 90.00 90.00 90.00
Last column: magnetic moment on the atom in μB.
Fractional coordinates of all 5 atoms:
Cr1 0.000 0.000 0.500  1.75
N1 0.000 0.000 0.000  -0.06
Pd1 0.500 0.500 0.500  0.11
Fe1 0.500 0.000 0.000  0.14
Fe2 0.000 0.500 0.000  0.14


Which of these has the lowest energy?
PaCr2FeN4


Look up the energy of the first one.
-9.398 eV/atom


energy of number 2 (CrFe2PdN)?
-8.047 eV/atom


What is the energy in the second record?
-8.047 eV/atom